No. 1
Here is a PBEsol-optimized structure of ScZn5 from Alexandria via LeMat-Bulk. Energies are from SCAN.

Cell lengths 5.9014, 5.9014, 4.1109 Å; angles 90.00, 90.00, 140.28 degrees
Last column: nearest neighbours and their distance in Å.
Atoms (fractional coordinates):
1 Sc 0.0000 0.0000 0.0000  12 Zn 2.78-2.87
2 Zn 0.1680 0.8320 0.5000  10 Zn 2.67-2.87, 2 Sc 2.78
3 Zn 0.3213 0.6787 0.0000  6 Zn 2.55-2.86, 2 Sc 2.82
4 Zn 0.5000 0.5000 0.5000  8 Zn 2.74-2.86, 4 Sc 2.87
5 Zn 0.6787 0.3213 0.0000  6 Zn 2.55-2.86, 2 Sc 2.82
6 Zn 0.8320 0.1680 0.5000  10 Zn 2.67-2.87, 2 Sc 2.78

***

No. 2
Here is a PBEsol-optimized structure of MnAl2Cr3 from Alexandria via LeMat-Bulk. Energies are from SCAN.

Cell lengths 2.8778, 2.8778, 8.6341 Å; angles 90.00, 90.00, 90.00 degrees
Last column: nearest neighbours and their distance in Å.
Atoms (fractional coordinates):
1 Mn 0.0000 0.0000 0.0000  4 Cr 2.36, 4 Al 2.55
2 Al 0.0000 0.0000 0.3203  9 Cr 2.58-2.73, 1 Mn 2.77, 4 Al 2.88
3 Al 0.5000 0.5000 0.8226  4 Mn 2.55, 6 Cr 2.59-2.73
4 Cr 0.0000 0.0000 0.6369  4 Cr 2.33, 4 Al 2.59
5 Cr 0.5000 0.5000 0.1374  4 Mn 2.36, 4 Al 2.58
6 Cr 0.5000 0.5000 0.5064  4 Cr 2.33, 4 Al 2.59

***

No. 3
Here is a PBEsol-optimized structure of CrTe2H from Alexandria via LeMat-Bulk. Energies are from SCAN.

Cell lengths 7.0723, 7.0723, 7.0723 Å; angles 32.89, 32.89, 32.89 degrees
Last column: nearest neighbours and their distance in Å.
Atoms (fractional coordinates):
1 Cr 0.0000 0.0000 0.0000  6 Te 2.69
2 Te 0.4024 0.4024 0.4024  1 H 1.96
3 Te 0.5976 0.5976 0.5976  1 H 1.96
4 H 0.5000 0.5000 0.5000  2 Te 1.96

***

No. 4
Here is a PBEsol-optimized structure of K3CrPb from Alexandria via LeMat-Bulk. Energies are from SCAN.

Cell lengths 6.6852, 6.6852, 6.6852 Å; angles 90.00, 90.00, 90.00 degrees
Last column: nearest neighbours and their distance in Å.
Atoms (fractional coordinates):
1 K 0.0000 0.0000 0.5000  2 Pb 3.34
2 K 0.0000 0.5000 0.0000  2 Pb 3.34
3 K 0.5000 0.0000 0.0000  2 Pb 3.34
4 Cr 0.5000 0.5000 0.5000  12 K 4.73
5 Pb 0.0000 0.0000 0.0000  6 K 3.34

## Properties
ΔE to the lowest computed polymorph: 0 meV per atom

***

No. 5
Here is a PBEsol-optimized structure of LaW from Alexandria via LeMat-Bulk. Energies are from SCAN.

Cell lengths 4.9210, 4.9210, 4.9210 Å; angles 60.00, 60.00, 60.00 degrees
Last column: nearest neighbours and their distance in Å.
Atoms (fractional coordinates):
1 La 0.1250 0.1250 0.1250  4 La 3.01, 4 W 3.01
2 La 0.8750 0.8750 0.8750  4 La 3.01, 4 W 3.01
3 W 0.3750 0.3750 0.3750  4 La 3.01, 4 W 3.01
4 W 0.6250 0.6250 0.6250  4 La 3.01, 4 W 3.01

## Properties
ΔE to the lowest computed polymorph: 327 meV per atom

***

No. 6
Here is a PBEsol-optimized structure of TmAgS2 from Alexandria via LeMat-Bulk. Energies are from SCAN.

Cell lengths 7.4377, 7.4523, 12.1815 Å; angles 90.00, 90.01, 90.00 degrees
Last column: nearest neighbours and their distance in Å.
Atoms (fractional coordinates):
1 Tm 0.0008 0.0000 0.2457  6 S 2.65-2.71
2 Tm 0.2479 0.7479 0.5042  6 S 2.65-2.70
3 Tm 0.2520 0.2558 0.0043  6 S 2.65-2.71
4 Tm 0.4993 0.0035 0.7457  6 S 2.65-2.71
5 Tm 0.5007 0.5035 0.2543  6 S 2.65-2.71
6 Tm 0.7480 0.7558 0.9957  6 S 2.65-2.71
7 Tm 0.7521 0.2479 0.4958  6 S 2.65-2.70
8 Tm 0.9992 0.5000 0.7543  6 S 2.65-2.71
9 Ag 0.0035 0.4872 0.3213  3 S 2.46-2.59
10 Ag 0.2189 0.7250 0.0694  3 S 2.47-2.60
11 Ag 0.2826 0.2811 0.5693  4 S 2.48-2.77
12 Ag 0.4924 0.5221 0.8210  3 S 2.46-2.60
13 Ag 0.5076 0.0221 0.1790  3 S 2.46-2.60
14 Ag 0.7174 0.7811 0.4307  4 S 2.48-2.77
15 Ag 0.7811 0.2250 0.9306  3 S 2.47-2.60
16 Ag 0.9965 0.9872 0.6787  3 S 2.46-2.59
17 S 0.0206 0.4780 0.5340  2 Ag 2.48-2.59, 3 Tm 2.65-2.69
18 S 0.0218 0.9826 0.0241  1 Ag 2.48, 3 Tm 2.67-2.71
19 S 0.2240 0.7264 0.2831  2 Ag 2.47-2.60, 3 Tm 2.67-2.70
20 S 0.2325 0.7696 0.7255  1 Ag 2.46, 3 Tm 2.65-2.70
21 S 0.2669 0.2349 0.2254  1 Ag 2.46, 3 Tm 2.65-2.70
22 S 0.2766 0.2781 0.7830  2 Ag 2.47-2.60, 3 Tm 2.67-2.71
23 S 0.4779 0.0216 0.5241  2 Ag 2.48-2.77, 3 Tm 2.67-2.71
24 S 0.4791 0.5263 0.0339  2 Ag 2.47-2.60, 3 Tm 2.65-2.69
25 S 0.5209 0.0263 0.9661  2 Ag 2.47-2.60, 3 Tm 2.65-2.69
26 S 0.5221 0.5216 0.4759  2 Ag 2.48-2.77, 3 Tm 2.67-2.71
27 S 0.7234 0.7781 0.2170  2 Ag 2.47-2.60, 3 Tm 2.67-2.71
28 S 0.7331 0.7349 0.7746  1 Ag 2.46, 3 Tm 2.65-2.70
29 S 0.7675 0.2696 0.2745  1 Ag 2.46, 3 Tm 2.65-2.70
30 S 0.7760 0.2264 0.7169  2 Ag 2.47-2.60, 3 Tm 2.67-2.70
31 S 0.9782 0.4826 0.9759  1 Ag 2.48, 3 Tm 2.67-2.71
32 S 0.9794 0.9780 0.4660  2 Ag 2.48-2.59, 3 Tm 2.65-2.69

## Properties
formation energy without anion corrections: -1.509 eV/atom

***

No. 7
Here is a PBEsol-optimized structure of AlHPd3 from Alexandria via LeMat-Bulk. Energies are from SCAN.

Cell lengths 3.9047, 3.9047, 3.9047 Å; angles 90.00, 90.00, 90.00 degrees
Last column: nearest neighbours and their distance in Å.
Atoms (fractional coordinates):
1 Al 0.0000 0.0000 0.0000  12 Pd 2.76
2 H 0.5000 0.5000 0.5000  6 Pd 1.95
3 Pd 0.0000 0.5000 0.5000  2 H 1.95
4 Pd 0.5000 0.0000 0.5000  2 H 1.95
5 Pd 0.5000 0.5000 0.0000  2 H 1.95

## Properties
ΔE to the lowest computed polymorph: 9 meV per atom

***

No. 8
Here is a PBEsol-optimized structure of SmH10S3N3O11 from Alexandria via LeMat-Bulk. Energies are from SCAN.

Cell lengths 7.7991, 9.0996, 9.1175 Å; angles 60.89, 84.62, 89.79 degrees
Last column: nearest neighbours and their distance in Å.
Atoms (fractional coordinates):
1 Sm 0.2248 0.3719 0.2903  8 O 2.36-2.41
2 Sm 0.7752 0.6281 0.7097  8 O 2.36-2.41
3 H 0.1212 0.9752 0.1813  1 N 1.04
4 H 0.1460 0.2524 0.8812  1 N 1.04
5 H 0.2212 0.4516 0.7301  1 N 1.04
6 H 0.2726 0.0172 0.3631  1 O 1.00
7 H 0.2921 0.0132 0.5423  1 O 1.00
8 H 0.3223 0.8972 0.1763  1 N 1.04
9 H 0.3332 0.3064 0.6318  1 O 1.01
10 H 0.3716 0.7747 0.7367  1 N 1.03
11 H 0.3748 0.8874 0.8360  1 N 1.04
12 H 0.4904 0.6682 0.4903  1 O 0.99
13 H 0.5096 0.3318 0.5097  1 O 0.99
14 H 0.6252 0.1126 0.1640  1 N 1.04
15 H 0.6284 0.2253 0.2633  1 N 1.03
16 H 0.6668 0.6936 0.3682  1 O 1.01
17 H 0.6777 0.1028 0.8237  1 N 1.04
18 H 0.7079 0.9868 0.4577  1 O 1.00
19 H 0.7274 0.9828 0.6369  1 O 1.00
20 H 0.7788 0.5484 0.2699  1 N 1.04
21 H 0.8540 0.7476 0.1188  1 N 1.04
22 H 0.8788 0.0248 0.8187  1 N 1.04
23 S 0.1208 0.7572 0.8801  3 O 1.46
24 S 0.1450 0.7171 0.3980  3 O 1.46-1.47
25 S 0.4082 0.3225 0.9187  3 O 1.46-1.47
26 S 0.5918 0.6775 0.0813  3 O 1.46-1.47
27 S 0.8550 0.2829 0.6020  3 O 1.46-1.47
28 S 0.8792 0.2428 0.1199  3 O 1.46
29 N 0.2192 0.9062 0.2519  2 H 1.04
30 N 0.2527 0.3279 0.8053  2 H 1.04
31 N 0.3028 0.8574 0.7635  2 H 1.03-1.04
32 N 0.6972 0.1426 0.2365  2 H 1.03-1.04
33 N 0.7473 0.6721 0.1947  2 H 1.04
34 N 0.7808 0.0938 0.7481  2 H 1.04
35 O 0.0264 0.2548 0.5431  1 S 1.46
36 O 0.0258 0.7316 0.7626  1 S 1.46
37 O 0.0409 0.8705 0.9345  1 S 1.46
38 O 0.1352 0.6065 0.3230  1 S 1.47
39 O 0.1614 0.5961 0.0216  1 S 1.46
40 O 0.2674 0.6594 0.5252  1 S 1.46
41 O 0.2981 0.0872 0.4168  2 H 1.00
42 O 0.3305 0.2951 0.0833  1 S 1.47
43 O 0.3821 0.3166 0.5208  2 H 0.99-1.01
44 O 0.4860 0.8171 0.0609  1 S 1.46
45 O 0.4973 0.4893 0.8165  1 S 1.47
46 O 0.5027 0.5107 0.1835  1 S 1.47
47 O 0.5140 0.1829 0.9391  1 S 1.46
48 O 0.6179 0.6834 0.4792  2 H 0.99-1.01
49 O 0.6695 0.7049 0.9167  1 S 1.47
50 O 0.7019 0.9128 0.5832  2 H 1.00
51 O 0.7326 0.3406 0.4748  1 S 1.46
52 O 0.8386 0.4039 0.9784  1 S 1.46
53 O 0.8648 0.3935 0.6770  1 S 1.47
54 O 0.9591 0.1295 0.0655  1 S 1.46
55 O 0.9742 0.2684 0.2374  1 S 1.46
56 O 0.9736 0.7452 0.4569  1 S 1.46

***

No. 9
Here is a PBEsol-optimized structure of BaHgSe2Br from Alexandria via LeMat-Bulk. Energies are from SCAN.

Cell lengths 6.3926, 6.3926, 6.1344 Å; angles 90.00, 90.00, 90.00 degrees
Last column: nearest neighbours and their distance in Å.
Atoms (fractional coordinates):
1 Ba 0.0000 0.0000 0.0000  2 Br 3.07, 4 Se 3.20
2 Hg 0.5000 0.5000 0.5000  8 Se 4.43, 4 Br 4.52
3 Se 0.0000 0.5000 0.0000  2 Ba 3.20
4 Se 0.5000 0.0000 0.0000  2 Ba 3.20
5 Br 0.0000 0.0000 0.5000  2 Ba 3.07

## Properties
formation energy without anion corrections: -0.354 eV/atom

***

No. 10
Here is a PBEsol-optimized structure of MgSc2Be from Alexandria via LeMat-Bulk. Energies are from SCAN.

Cell lengths 10.1784, 10.1784, 10.1784 Å; angles 17.57, 17.57, 17.57 degrees
Last column: nearest neighbours and their distance in Å.
Atoms (fractional coordinates):
1 Mg 0.0000 0.0000 0.0000  2 Sc 3.11, 6 Mg 3.11
2 Sc 0.1034 0.1034 0.1034  3 Be 2.62
3 Sc 0.8966 0.8966 0.8966  3 Be 2.62
4 Be 0.5000 0.5000 0.5000  6 Sc 2.62

## Properties
ΔE to the lowest computed polymorph: 375 meV per atom

***

No. 11
Here is a PBEsol-optimized structure of SmInAu from Alexandria via LeMat-Bulk. Energies are from SCAN.

Cell lengths 7.6777, 7.6777, 4.0348 Å; angles 90.00, 90.00, 120.00 degrees
Last column: nearest neighbours and their distance in Å.
Atoms (fractional coordinates):
1 Sm 0.0000 0.5923 0.0000  5 Au 3.08-3.13, 6 In 3.27-3.40
2 Sm 0.4077 0.4077 0.0000  5 Au 3.08-3.13, 6 In 3.27-3.40
3 Sm 0.5923 0.0000 0.0000  5 Au 3.08-3.13, 6 In 3.27-3.40
4 In 0.0000 0.2565 0.5000  4 Au 2.82-2.90
5 In 0.2565 0.0000 0.5000  4 Au 2.82-2.90
6 In 0.7435 0.7435 0.5000  4 Au 2.82-2.90
7 Au 0.0000 0.0000 0.0000  6 In 2.82, 3 Sm 3.13
8 Au 0.3333 0.6667 0.5000  3 In 2.90, 6 Sm 3.08
9 Au 0.6667 0.3333 0.5000  3 In 2.90, 6 Sm 3.08

***

No. 12
Here is a PBEsol-optimized structure of SrAgIr2 from Alexandria via LeMat-Bulk. Energies are from SCAN.

Cell lengths 4.6835, 4.6835, 4.6835 Å; angles 60.00, 60.00, 60.00 degrees
Last column: nearest neighbours and their distance in Å.
Atoms (fractional coordinates):
1 Sr 0.0000 0.0000 0.0000  4 Ir 2.87, 4 Ag 2.87
2 Ag 0.2500 0.2500 0.2500  4 Ir 2.87, 4 Sr 2.87
3 Ir 0.5000 0.5000 0.5000  4 Ir 2.87, 4 Ag 2.87
4 Ir 0.7500 0.7500 0.7500  4 Ir 2.87, 4 Sr 2.87

## Properties
ΔE to the lowest computed polymorph: 397 meV per atom

***

Looking at raw total energy for the records above, in order, we have -13.86, -15.05, -24.25, -23.30, -55.47, -27.12, -22.50, -8.59, -33.82, -9.14, -49.97, -48.39 eV/atom.
Looking at theoretical density for the records above, in order, we have 6.75, 6.15, 5.51, 2.09, 12.72, 6.71, 9.69, 2.80, 3.81, 2.44, 11.18, 13.26 Mg/m³.